The following is a DFT calculation (PBEsol) of a relaxed structure of Ti3BMo.

Lattice parameters (Å, degrees): 4.2074 4.2074 4.2074 90.00 90.00 90.00
Closest atoms and distances in Å follow each position.
Space group Pm-3m (No. 221)
One atom of each set of equivalent atoms:
Ti: 0.0000 0.0000 0.5000 x3  2 B 2.10
B: 0.0000 0.0000 0.0000 x1  6 Ti 2.10
Mo: 0.5000 0.5000 0.5000 x1  12 Ti 2.98

Properties
E_form = 0.10 eV per atom
mass density = 5.58 g cm⁻³
total moment = 0.00 μB per formula unit